No. 1
NbAg2Ir: optimized geometry, PBE.

Output
Crystal system: cubic
ΔE_f: 0.47 eV/atom
Space group: Fm-3m
Distance to the lowest polymorph of the same formula: 0.0000 eV/atom

a b c (Å): 4.5635 4.5635 4.5635
angles (deg): 60.00 60.00 60.00
Last column: nearest neighbours and their distance in Å.
Element x y z (fractional)
Ag: 0.7500 0.7500 0.7500  4 Ir 2.79, 4 Nb 2.79
Nb: 0.0000 0.0000 0.0000  8 Ag 2.79
Ag: 0.2500 0.2500 0.2500  4 Ir 2.79, 4 Nb 2.79
Ir: 0.5000 0.5000 0.5000  8 Ag 2.79

No. 2
PmThSn: optimized geometry, PBE.

Output
Crystal system: trigonal
ΔE_f: -0.18 eV/atom
Space group: P3m1
Distance to the lowest polymorph of the same formula: 0.3236 eV/atom

a b c (Å): 3.6735 5.3734 5.3734
angles (deg): 120.00 90.00 90.00
Last column: nearest neighbours and their distance in Å.
Element x y z (fractional)
Sn: 0.0269 0.0000 0.0000  3 Pm 3.22, 3 Th 3.31
Pm: 0.2593 0.6667 0.3333  3 Sn 3.22, 3 Th 3.52
Th: 0.7137 0.3333 0.6667  3 Sn 3.31, 6 Pm 3.52-3.69, 2 Th 3.67

No. 3
KCd3Pt: optimized geometry, PBE.

Output
Crystal system: orthorhombic
ΔE_f: -0.25 eV/atom
Space group: Imma
Distance to the lowest polymorph of the same formula: 0.0009 eV/atom

a b c (Å): 7.4044 10.5810 7.5887
angles (deg): 90.00 90.00 90.00
Last column: nearest neighbours and their distance in Å.
Element x y z (fractional)
Pt: 0.5000 0.0000 0.0000  6 Cd 2.66
Cd: 0.7500 0.4800 0.7500  2 Pt 2.66
Cd: 0.5000 0.7500 0.0384  2 Pt 2.66
Cd: 0.0000 0.7500 0.4616  2 Pt 2.66
Pt: 0.0000 0.5000 0.5000  6 Cd 2.66
Cd: 0.2500 0.0200 0.7500  2 Pt 2.66
Cd: 0.7500 0.9800 0.2500  2 Pt 2.66
Cd: 0.2500 0.4800 0.7500  2 Pt 2.66
Cd: 0.2500 0.5200 0.2500  2 Pt 2.66
Cd: 0.5000 0.2500 0.9616  2 Pt 2.66
Cd: 0.2500 0.9800 0.2500  2 Pt 2.66
K: 0.0000 0.2500 0.0567  12 Cd 3.66-3.93
Pt: 0.5000 0.5000 0.0000  6 Cd 2.66
K: 0.5000 0.2500 0.4433  12 Cd 3.66-3.93
Cd: 0.0000 0.2500 0.5384  2 Pt 2.66
K: 0.0000 0.7500 0.9433  12 Cd 3.66-3.93
K: 0.5000 0.7500 0.5567  12 Cd 3.66-3.93
Cd: 0.7500 0.5200 0.2500  2 Pt 2.66
Pt: 0.0000 0.0000 0.5000  6 Cd 2.66
Cd: 0.7500 0.0200 0.7500  2 Pt 2.66

No. 4
LaPmPd: optimized geometry, PBE.

Output
Crystal system: tetragonal
ΔE_f: -0.46 eV/atom
Space group: I4mm
Distance to the lowest polymorph of the same formula: 0.0321 eV/atom

a b c (Å): 3.7038 3.7038 6.7654
angles (deg): 105.89 105.89 90.00
Last column: nearest neighbours and their distance in Å.
Element x y z (fractional)
Pm: 0.3028 0.3028 0.6057  4 Pd 3.09, 1 La 3.45
La: 0.0263 0.0263 0.0525  4 Pd 3.18, 1 Pm 3.45
Pd: 0.6709 0.6709 0.3418  4 Pm 3.09, 4 La 3.18

No. 5
La6PmEr12: optimized geometry, PBE.

Output
Crystal system: trigonal
ΔE_f: 0.22 eV/atom
Space group: R-3m

a b c (Å): 8.7772 8.7772 8.7772
angles (deg): 98.71 98.71 98.71
Last column: nearest neighbours and their distance in Å.
Element x y z (fractional)
Er: 0.6449 0.6449 0.9203  6 Er 3.37-3.67, 2 La 3.71
Er: 0.2463 0.7537 0.5000  6 Er 3.37-3.54, 4 La 3.51-3.62
La: 0.0970 0.0970 0.6528  1 La 3.06
Er: 0.5000 0.2463 0.7537  6 Er 3.37-3.54, 4 La 3.51-3.62
La: 0.3472 0.9030 0.9030  1 La 3.06
Er: 0.7537 0.2463 0.5000  6 Er 3.37-3.54, 4 La 3.51-3.62
Pm: 0.0000 0.0000 0.0000  6 La 3.48
La: 0.0970 0.6528 0.0970  1 La 3.06
Er: 0.3551 0.3551 0.0797  6 Er 3.37-3.67, 2 La 3.71
La: 0.6528 0.0970 0.0970  1 La 3.06
Er: 0.2463 0.5000 0.7537  6 Er 3.37-3.54, 4 La 3.51-3.62
La: 0.9030 0.3472 0.9030  1 La 3.06
Er: 0.3551 0.0797 0.3551  6 Er 3.37-3.67, 2 La 3.71
Er: 0.9203 0.6449 0.6449  6 Er 3.37-3.67, 2 La 3.71
Er: 0.5000 0.7537 0.2463  6 Er 3.37-3.54, 4 La 3.51-3.62
La: 0.9030 0.9030 0.3472  1 La 3.06
Er: 0.7537 0.5000 0.2463  6 Er 3.37-3.54, 4 La 3.51-3.62
Er: 0.0797 0.3551 0.3551  6 Er 3.37-3.67, 2 La 3.71
Er: 0.6449 0.9203 0.6449  6 Er 3.37-3.67, 2 La 3.71

No. 6
NpGaPdPt: optimized geometry, PBE.

Output
Crystal system: cubic
ΔE_f: -0.43 eV/atom
Space group: F-43m

a b c (Å): 4.7226 4.7226 4.7226
angles (deg): 60.00 60.00 60.00
Last column: nearest neighbours and their distance in Å.
Element x y z (fractional)
Pd: 0.2500 0.2500 0.2500  4 Np 2.89, 4 Ga 2.89
Pt: 0.7500 0.7500 0.7500  4 Np 2.89, 4 Ga 2.89
Np: 0.0000 0.0000 0.0000  4 Pd 2.89, 4 Pt 2.89
Ga: 0.5000 0.5000 0.5000  4 Pt 2.89, 4 Pd 2.89

No. 7
CaPmIn4O8: optimized geometry, PBE.

Output
Crystal system: trigonal
Space group: R3m

a b c (Å): 6.6762 6.6762 6.7353
angles (deg): 60.29 60.29 60.00
Last column: nearest neighbours and their distance in Å.
Element x y z (fractional)
O: 0.7505 0.2222 0.2767  3 In 2.18-2.24, 1 Ca 2.37
In: 0.6222 0.6222 0.1334  4 O 2.18-2.28
O: 0.2382 0.2382 0.2854  3 In 2.26, 1 Pm 2.32
Pm: 0.3782 0.3782 0.8655  4 O 2.23-2.32
In: 0.9999 0.9999 0.4995  6 O 2.23-2.28
Ca: 0.9998 0.9998 0.0007  6 O 2.34-2.37
O: 0.2454 0.2454 0.7222  2 In 2.23, 1 Pm 2.23, 1 Ca 2.34
O: 0.2222 0.7505 0.2767  3 In 2.18-2.24, 1 Ca 2.37
O: 0.7505 0.7505 0.2767  3 In 2.18-2.24, 1 Ca 2.37
In: 0.9999 0.5008 0.4995  6 O 2.23-2.28
O: 0.7601 0.7601 0.7198  4 In 2.28
In: 0.5008 0.9999 0.4995  6 O 2.23-2.28
O: 0.2454 0.7869 0.7222  2 In 2.23, 1 Pm 2.23, 1 Ca 2.34
O: 0.7869 0.2454 0.7222  2 In 2.23, 1 Pm 2.23, 1 Ca 2.34

No. 8
Sm2PuAu6: optimized geometry, PBE.

Output
Crystal system: hexagonal
ΔE_f: -0.66 eV/atom
Space group: P6/mmm

a b c (Å): 3.4608 8.2591 8.2591
angles (deg): 120.00 90.00 90.00
Last column: nearest neighbours and their distance in Å.
Element x y z (fractional)
Au: 0.5000 0.6667 0.6667  3 Au 2.75
Au: 0.5000 0.6667 0.0000  3 Au 2.75
Au: 0.5000 0.3333 0.3333  3 Au 2.75
Au: 0.5000 0.0000 0.6667  3 Au 2.75
Pu: 0.0000 0.0000 0.0000  12 Au 3.25, 2 Pu 3.46
Au: 0.5000 0.3333 0.0000  3 Au 2.75
Sm: 0.0000 0.3333 0.6667  12 Au 3.25, 2 Sm 3.46
Sm: 0.0000 0.6667 0.3333  12 Au 3.25, 2 Sm 3.46
Au: 0.5000 0.0000 0.3333  3 Au 2.75

No. 9
Na3PrTm2O6: optimized geometry, PBE.

Output
Crystal system: monoclinic
Space group: C2/m

a b c (Å): 5.9862 5.9862 5.9357
angles (deg): 99.58 99.58 120.07
Last column: nearest neighbours and their distance in Å.
Element x y z (fractional)
Na: 0.5000 0.5000 0.5000  6 O 2.48-2.62
Na: 0.1736 0.8264 0.5000  6 O 2.45-2.66
O: 0.5800 0.9305 0.7898  2 Tm 2.27-2.28, 1 Pr 2.41, 1 Na 2.45
O: 0.0695 0.4200 0.2102  2 Tm 2.27-2.28, 1 Pr 2.41, 1 Na 2.45
O: 0.9305 0.5800 0.7898  2 Tm 2.27-2.28, 1 Pr 2.41, 1 Na 2.45
Tm: 0.3335 0.6665 0.0000  6 O 2.27-2.28
O: 0.2808 0.2808 0.7877  2 Tm 2.28, 1 Pr 2.41, 1 Na 2.48
Pr: 0.0000 0.0000 0.0000  6 O 2.41
O: 0.4200 0.0695 0.2102  2 Tm 2.27-2.28, 1 Pr 2.41, 1 Na 2.45
O: 0.7192 0.7192 0.2123  2 Tm 2.28, 1 Pr 2.41, 1 Na 2.48
Na: 0.8264 0.1736 0.5000  6 O 2.45-2.66
Tm: 0.6665 0.3335 0.0000  6 O 2.27-2.28

No. 10
YAlBr: optimized geometry, PBE.

Output
Crystal system: trigonal
Space group: P3m1

a b c (Å): 3.6262 3.6262 7.5232
angles (deg): 90.00 90.00 120.00
Last column: nearest neighbours and their distance in Å.
Element x y z (fractional)
Y: 0.6667 0.3333 0.6568  3 Br 2.89, 3 Al 3.05
Al: 0.0000 0.0000 0.9515  3 Y 3.05
Br: 0.3333 0.6667 0.3917  3 Y 2.89

No. 11
Li4HgSb: optimized geometry, PBE.

Output
Crystal system: cubic
Space group: F-43m
Distance to the lowest polymorph of the same formula: 0.2532 eV/atom

a b c (Å): 5.4610 5.4610 5.4610
angles (deg): 60.00 60.00 60.00
Last column: nearest neighbours and their distance in Å.
Element x y z (fractional)
Li: 0.3757 0.8729 0.3757  6 Li 2.72-2.75
Sb: 0.7500 0.7500 0.7500  12 Li 3.20, 4 Hg 3.34
Li: 0.3757 0.3757 0.8729  6 Li 2.72-2.75
Li: 0.3757 0.3757 0.3757  6 Li 2.72-2.75
Li: 0.8729 0.3757 0.3757  6 Li 2.72-2.75
Hg: 0.0000 0.0000 0.0000  12 Li 3.20, 4 Sb 3.34

No. 12
TiBiCl3: optimized geometry, PBE.

Output
Crystal system: cubic
Space group: Pm-3m
Distance to the lowest polymorph of the same formula: 0.8578 eV/atom

a b c (Å): 5.5531 5.5531 5.5531
angles (deg): 90.00 90.00 90.00
Last column: nearest neighbours and their distance in Å.
Element x y z (fractional)
Bi: 0.0000 0.0000 0.0000  6 Cl 2.78
Cl: 0.0000 0.0000 0.5000  2 Bi 2.78
Cl: 0.0000 0.5000 0.0000  2 Bi 2.78
Ti: 0.5000 0.5000 0.5000  12 Cl 3.93
Cl: 0.5000 0.0000 0.0000  2 Bi 2.78

The records above give, respectively, final energy values of -22.74 -16.70 -44.61 -16.26 -84.88 -28.92 -85.55 -49.39 -80.50 -13.54 -13.25 -15.82 eV for the cell shown.
The records above give, respectively, DOS(E_F) values of 1.906 1.232 0.366 1.169 1.720 2.027 0.105 1.514 0.000 0.888 0.242 4.746 states/eV/atom.